[1]
Computed, not measured: PrHo2Al after structural relaxation at the PBE level of DFT.

Output
The distance to the lowest polymorph of the same formula comes out at 0.0000 eV/atom.

Cell: 3.538 3.538 9.101 Å, 90.00 90.00 90.00°
Space group P4/mmm (No. 123)
Unique sites:
1 Pr 0.000 0.000 0.000 x1
2 Ho 0.500 0.500 0.292 x2
3 Al 0.000 0.000 0.500 x1

[2]
Computed, not measured: PrHo2Al6 after structural relaxation at the PBE level of DFT.

Output
The distance to the lowest polymorph of the same formula comes out at 0.2036 eV/atom.

Cell: 4.417 7.239 13.422 Å, 90.00 90.00 90.00°
Space group Immm (No. 71)
Unique sites:
1 Pr 0.000 0.000 0.000 x2
2 Ho 0.000 0.500 0.124 x4
3 Al 0.000 0.182 0.500 x4
4 Al 0.000 0.304 0.314 x8